1.
Here is a relaxed Ta2CuTe crystal from the Alexandria database. Energies are from GGA-PBE.

CIF file:
```
data_Ta2CuTe
_cell_length_a 8.8089
_cell_length_b 8.8089
_cell_length_c 8.8089
_cell_angle_alpha 21.57
_cell_angle_beta 21.57
_cell_angle_gamma 21.57
_space_group_name_H-M_alt 'P 1'
_space_group_IT_number 1
loop_
_space_group_symop_operation_xyz
'x,y,z'
loop_
_atom_site_label
_atom_site_type_symbol
_atom_site_fract_x
_atom_site_fract_y
_atom_site_fract_z
_atom_site_occupancy
Ta1 Ta 0.0002 0.0002 0.0002 1
Ta2 Ta 0.2540 0.2540 0.2540 1
Cu1 Cu 0.7402 0.7402 0.7402 1
Te1 Te 0.5056 0.5056 0.5056 1
```

Values from the calculation:
**Formation energy from raw total energies**: 0.289 eV/atom
**Space-group type**: R3m (160)



2.
Here is a relaxed LaH3Pt crystal from the Alexandria database. Energies are from GGA-PBE.

CIF file:
```
data_LaH3Pt
_cell_length_a 6.6259
_cell_length_b 4.2574
_cell_length_c 4.6057
_cell_angle_alpha 89.96
_cell_angle_beta 88.75
_cell_angle_gamma 90.00
_space_group_name_H-M_alt 'P 1'
_space_group_IT_number 1
loop_
_space_group_symop_operation_xyz
'x,y,z'
loop_
_atom_site_label
_atom_site_type_symbol
_atom_site_fract_x
_atom_site_fract_y
_atom_site_fract_z
_atom_site_occupancy
Pt1 Pt 0.7661 0.5747 0.5787 1
Pt2 Pt 0.2661 0.0747 0.0787 1
H1 H 0.9353 0.5747 0.8476 1
H2 H 0.5902 0.5758 0.8513 1
H3 H 0.5969 0.5747 0.3098 1
H4 H 0.4203 0.0750 0.3614 1
H5 H 0.9419 0.5736 0.3061 1
H6 H 0.1118 0.0744 0.7960 1
La1 La 0.7660 0.0747 0.0787 1
La2 La 0.2661 0.5747 0.5787 1
```

Values from the calculation:
**Space-group type**: P2/m (10)



3.
Here is a relaxed InSi2Se crystal from the Alexandria database. Energies are from GGA-PBE.

CIF file:
```
data_InSi2Se
_cell_length_a 6.1273
_cell_length_b 6.1273
_cell_length_c 6.1273
_cell_angle_alpha 142.71
_cell_angle_beta 142.71
_cell_angle_gamma 53.76
_space_group_name_H-M_alt 'P 1'
_space_group_IT_number 1
loop_
_space_group_symop_operation_xyz
'x,y,z'
loop_
_atom_site_label
_atom_site_type_symbol
_atom_site_fract_x
_atom_site_fract_y
_atom_site_fract_z
_atom_site_occupancy
Se1 Se 0.7500 0.2500 0.5000 1
Si1 Si 0.0000 0.0000 0.0000 1
Si2 Si 0.2500 0.7500 0.5000 1
In1 In 0.5000 0.5000 0.0000 1
```

Values from the calculation:
**Formation energy from raw total energies**: 0.497 eV/atom
**Space-group type**: I-4m2 (119)



| no. | E_tot (eV per atom) |
| --- | --- |
| 1 | -7.446 |
| 2 | -4.825 |
| 3 | -3.771 |